First-principles (PBE) data for an optimized crystal structure of Pm2NdDy4Mg, as listed in the Alexandria database.

- Symmetry: Pmmm
- Magnetization: 0.00 μB/cell
- Theoretical density: 7.25 g/cm³
- Energy of formation from the pure elements: 26 meV per atom

a b c (Å): 4.983 4.993 11.355
angles (deg): 63.93 90.00 90.00
Fractional positions:
Pm: 0.000 0.000 0.000
Pm: 0.500 0.000 0.500
Nd: 0.500 0.500 0.000
Dy: 0.000 0.754 0.746
Dy: 0.000 0.246 0.254
Dy: 0.500 0.747 0.254
Dy: 0.500 0.253 0.746
Mg: 0.000 0.500 0.500